Compound: LaZn
Source: Alexandria
Functional: PBE
Structure: relaxed

Total magnetic moment   0.0 μB per formula unit
ΔH_f (0 K)   -225 meV per atom

Unit cell a=4.592 b=4.592 c=10.735 alpha=90.00 beta=90.00 gamma=120.00
Atoms (fractional coordinates):
La: 0.333 0.667 0.081
La: 0.333 0.667 0.419
La: 0.667 0.333 0.581
La: 0.667 0.333 0.919
Zn: 0.000 0.000 0.250
Zn: 0.000 0.000 0.750
Zn: 0.333 0.667 0.750
Zn: 0.667 0.333 0.250


Compound: LaZn2
Source: Alexandria
Functional: PBE
Structure: relaxed

Total magnetic moment   0.0 μB per formula unit
ΔH_f (0 K)   -259 meV per atom

Unit cell a=4.375 b=12.667 c=4.804 alpha=90.00 beta=90.00 gamma=90.00
Atoms (fractional coordinates):
La: 0.000 0.089 0.250
La: 0.000 0.911 0.750
La: 0.500 0.411 0.750
La: 0.500 0.589 0.250
Zn: 0.000 0.241 0.750
Zn: 0.000 0.375 0.250
Zn: 0.000 0.625 0.750
Zn: 0.000 0.759 0.250
Zn: 0.500 0.125 0.750
Zn: 0.500 0.259 0.250
Zn: 0.500 0.741 0.750
Zn: 0.500 0.875 0.250